[1]
First-principles (PBE) data for a geometry-optimized RbNaPt structure, as listed in the Open Quantum Materials Database.

Summary:
DFT total energy (eV/atom): -2.360

a b c (Å): 7.355 7.355 7.355
angles (deg): 90.00 90.00 90.00
Atoms (fractional coordinates):
Rb: 0.000 0.000 0.000
Rb: 0.000 0.500 0.500
Rb: 0.500 0.000 0.500
Rb: 0.500 0.500 0.000
Na: 0.250 0.250 0.750
Na: 0.250 0.750 0.250
Na: 0.750 0.250 0.250
Na: 0.750 0.750 0.750
Pt: 0.250 0.250 0.250
Pt: 0.250 0.750 0.750
Pt: 0.750 0.250 0.750
Pt: 0.750 0.750 0.250



[2]
First-principles (PBE) data for a geometry-optimized RbNaTePt structure, as listed in the Open Quantum Materials Database.

Summary:
DFT total energy (eV/atom): -2.986

a b c (Å): 7.419 7.419 7.419
angles (deg): 90.00 90.00 90.00
Atoms (fractional coordinates):
Rb: 0.000 0.000 0.000
Rb: 0.000 0.500 0.500
Rb: 0.500 0.000 0.500
Rb: 0.500 0.500 0.000
Na: 0.250 0.250 0.750
Na: 0.250 0.750 0.250
Na: 0.750 0.250 0.250
Na: 0.750 0.750 0.750
Te: 0.250 0.250 0.250
Te: 0.250 0.750 0.750
Te: 0.750 0.250 0.750
Te: 0.750 0.750 0.250
Pt: 0.000 0.000 0.500
Pt: 0.000 0.500 0.000
Pt: 0.500 0.000 0.000
Pt: 0.500 0.500 0.500



[3]
First-principles (PBE) data for a geometry-optimized RbNaTePt structure, as listed in the Open Quantum Materials Database.

Summary:
DFT total energy (eV/atom): -2.782

a b c (Å): 7.693 7.693 7.693
angles (deg): 90.00 90.00 90.00
Atoms (fractional coordinates):
Rb: 0.000 0.000 0.000
Rb: 0.000 0.500 0.500
Rb: 0.500 0.000 0.500
Rb: 0.500 0.500 0.000
Na: 0.000 0.000 0.500
Na: 0.000 0.500 0.000
Na: 0.500 0.000 0.000
Na: 0.500 0.500 0.500
Te: 0.250 0.250 0.250
Te: 0.250 0.750 0.750
Te: 0.750 0.250 0.750
Te: 0.750 0.750 0.250
Pt: 0.250 0.250 0.750
Pt: 0.250 0.750 0.250
Pt: 0.750 0.250 0.250
Pt: 0.750 0.750 0.750



[4]
First-principles (PBE) data for a geometry-optimized RbNaTePt structure, as listed in the Open Quantum Materials Database.

Summary:
DFT total energy (eV/atom): -3.024

a b c (Å): 7.377 7.377 7.377
angles (deg): 90.00 90.00 90.00
Atoms (fractional coordinates):
Rb: 0.000 0.000 0.000
Rb: 0.000 0.500 0.500
Rb: 0.500 0.000 0.500
Rb: 0.500 0.500 0.000
Na: 0.250 0.250 0.750
Na: 0.250 0.750 0.250
Na: 0.750 0.250 0.250
Na: 0.750 0.750 0.750
Te: 0.000 0.000 0.500
Te: 0.000 0.500 0.000
Te: 0.500 0.000 0.000
Te: 0.500 0.500 0.500
Pt: 0.250 0.250 0.250
Pt: 0.250 0.750 0.750
Pt: 0.750 0.250 0.750
Pt: 0.750 0.750 0.250



[5]
First-principles (PBE) data for a geometry-optimized RbNaPtW structure, as listed in the Open Quantum Materials Database.

Summary:
DFT total energy (eV/atom): -3.624

a b c (Å): 7.398 7.398 7.398
angles (deg): 90.00 90.00 90.00
Atoms (fractional coordinates):
Rb: 0.000 0.000 0.000
Rb: 0.000 0.500 0.500
Rb: 0.500 0.000 0.500
Rb: 0.500 0.500 0.000
Na: 0.000 0.000 0.500
Na: 0.000 0.500 0.000
Na: 0.500 0.000 0.000
Na: 0.500 0.500 0.500
Pt: 0.250 0.250 0.750
Pt: 0.250 0.750 0.250
Pt: 0.750 0.250 0.250
Pt: 0.750 0.750 0.750
W: 0.250 0.250 0.250
W: 0.250 0.750 0.750
W: 0.750 0.250 0.750
W: 0.750 0.750 0.250



[6]
First-principles (PBE) data for a geometry-optimized RbNaPtW structure, as listed in the Open Quantum Materials Database.

Summary:
DFT total energy (eV/atom): -4.064

a b c (Å): 6.857 6.857 6.857
angles (deg): 90.00 90.00 90.00
Atoms (fractional coordinates):
Rb: 0.000 0.000 0.000
Rb: 0.000 0.500 0.500
Rb: 0.500 0.000 0.500
Rb: 0.500 0.500 0.000
Na: 0.250 0.250 0.750
Na: 0.250 0.750 0.250
Na: 0.750 0.250 0.250
Na: 0.750 0.750 0.750
Pt: 0.000 0.000 0.500
Pt: 0.000 0.500 0.000
Pt: 0.500 0.000 0.000
Pt: 0.500 0.500 0.500
W: 0.250 0.250 0.250
W: 0.250 0.750 0.750
W: 0.750 0.250 0.750
W: 0.750 0.750 0.250



The following volume values (in Å³/f.u.) correspond, in order, to the records above: 99 102 114 100 101 81.
The following M_tot values (in Bohr magnetons per cell) correspond, in order, to the records above: 0.00 0.01 1.28 0.01 17.75 0.06.